1.
# YLuMgTi

Crystalline YLuMgTi at its relaxed geometry (GGA-PBE, Alexandria).

Unit cell a=5.2241 b=5.2241 c=5.2241 alpha=60.00 beta=60.00 gamma=60.00
Element x y z (fractional)
Lu 0.7500 0.7500 0.7500
Ti 0.5000 0.5000 0.5000
Mg 0.0000 0.0000 0.0000
Y 0.2500 0.2500 0.2500

Summary:
crystal system = cubic
M_tot = 2.3 μB/f.u.
energy relative to the elements = 0.15 eV/atom
energy = -19.88 eV per cell

---

2.
# LuMgTiZn

Crystalline LuMgTiZn at its relaxed geometry (GGA-PBE, Alexandria).

Unit cell a=4.8423 b=4.8423 c=4.8423 alpha=60.00 beta=60.00 gamma=60.00
Element x y z (fractional)
Zn 0.5000 0.5000 0.5000
Ti 0.2500 0.2500 0.2500
Mg 0.0000 0.0000 0.0000
Lu 0.7500 0.7500 0.7500

Summary:
crystal system = cubic
M_tot = 0.8 μB/f.u.
energy relative to the elements = 0.03 eV/atom
energy = -15.18 eV per cell